## Na2FeAs2 (PBE)

Data for a relaxed structure of Na2FeAs2.

The structure in POSCAR format:
```
Na2FeAs2
1.0
6.276 0.000 0.000
0.000 6.276 0.000
0.000 0.000 4.928
Na Fe As
4 2 4
direct
0.173 0.327 0.000 Na
0.327 0.827 0.000 Na
0.673 0.173 0.000 Na
0.827 0.673 0.000 Na
0.000 0.000 0.500 Fe
0.500 0.500 0.500 Fe
0.145 0.645 0.500 As
0.355 0.145 0.500 As
0.645 0.855 0.500 As
0.855 0.355 0.500 As
```

## Properties
SG: P4/mbm, No. 127
Energy, eV/atom: -4.3105
ρ, g/cm³: 4.31
Formation energy from the elements, eV/atom: -0.23
Magnetization, μB per formula unit: 1.888

=====

## NaFe3As3 (PBE)

Data for a relaxed structure of NaFe3As3.

The structure in POSCAR format:
```
NaFe3As3
1.0
8.534 0.000 0.000
-4.267 7.390 0.000
0.000 0.000 4.048
Na Fe As
2 6 6
direct
0.333 0.667 0.250 Na
0.667 0.333 0.750 Na
0.060 0.867 0.250 Fe
0.133 0.193 0.250 Fe
0.193 0.060 0.750 Fe
0.807 0.940 0.250 Fe
0.867 0.807 0.750 Fe
0.940 0.133 0.750 Fe
0.107 0.742 0.750 As
0.258 0.365 0.750 As
0.365 0.107 0.250 As
0.635 0.893 0.750 As
0.742 0.635 0.250 As
0.893 0.258 0.250 As
```

## Properties
SG: P6_3/m, No. 176
Energy, eV/atom: -6.0277
ρ, g/cm³: 5.40
Formation energy from the elements, eV/atom: -0.22
Magnetization, μB per formula unit: 3.503

=====

## NaFeAs3 (PBE)

Data for a relaxed structure of NaFeAs3.

The structure in POSCAR format:
```
NaFeAs3
1.0
4.675 0.000 0.000
0.000 4.675 0.000
0.000 0.000 4.675
Na Fe As
1 1 3
direct
0.000 0.000 0.000 Na
0.500 0.500 0.500 Fe
0.000 0.500 0.500 As
0.500 0.000 0.500 As
0.500 0.500 0.000 As
```

## Properties
SG: Pm-3m, No. 221
Energy, eV/atom: -4.5570
ρ, g/cm³: 4.93
Energy above the lowest structure with this stoichiometry, meV/atom: 0.0
Formation energy from the elements, eV/atom: 0.19
Magnetization, μB per formula unit: 0.000

=====

## Na3Fe4As4 (PBE)

Data for a relaxed structure of Na3Fe4As4.

The structure in POSCAR format:
```
Na3Fe4As4
1.0
-3.604 3.604 3.604
3.604 -3.604 3.604
3.604 3.604 -3.604
Na Fe As
3 4 4
direct
0.000 0.500 0.500 Na
0.500 0.000 0.500 Na
0.500 0.500 0.000 Na
0.000 0.000 0.252 Fe
0.000 0.252 0.000 Fe
0.252 0.000 0.000 Fe
0.748 0.748 0.748 Fe
0.000 0.000 0.623 As
0.000 0.623 0.000 As
0.377 0.377 0.377 As
0.623 0.000 0.000 As
```

## Properties
SG: I-43m, No. 217
Energy, eV/atom: -5.3779
ρ, g/cm³: 5.25
Formation energy from the elements, eV/atom: -0.25
Magnetization, μB per formula unit: 1.460

=====

## NaFeAs3 (PBE)

Data for a relaxed structure of NaFeAs3.

The structure in POSCAR format:
```
NaFeAs3
1.0
4.871 0.000 0.000
0.000 4.871 0.000
0.000 0.000 4.871
Na Fe As
1 1 3
direct
0.000 0.000 0.000 Na
0.500 0.500 0.500 Fe
0.000 0.000 0.500 As
0.000 0.500 0.000 As
0.500 0.000 0.000 As
```

## Properties
SG: Pm-3m, No. 221
Energy, eV/atom: -3.0478
ρ, g/cm³: 4.36
Energy above the lowest structure with this stoichiometry, meV/atom: 1509.1
Formation energy from the elements, eV/atom: 1.70
Magnetization, μB per formula unit: 0.104

=====

## NaFeNiAs2 (PBE)

Data for a relaxed structure of NaFeNiAs2.

The structure in POSCAR format:
```
NaFeNiAs2
1.0
3.765 0.000 0.000
0.000 3.765 0.000
0.000 0.000 12.387
Na Fe Ni As
2 2 2 4
direct
0.000 0.000 0.000 Na
0.500 0.500 0.500 Na
0.000 0.500 0.250 Fe
0.500 0.000 0.750 Fe
0.000 0.500 0.750 Ni
0.500 0.000 0.250 Ni
0.000 0.000 0.361 As
0.000 0.000 0.639 As
0.500 0.500 0.139 As
0.500 0.500 0.861 As
```

## Properties
SG: I-4m2, No. 119
Energy, eV/atom: -5.2912
ρ, g/cm³: 5.44
Formation energy from the elements, eV/atom: -0.32
Magnetization, μB per formula unit: 0.000